1.
A geometry-optimized SrAlCr2 structure, computed with PBE.

Properties
The density of states at the Fermi level comes out at 0.6941 states/eV per atom. The crystal system is tetragonal. The value obtained for the total energy is -21.69 eV per cell. As for the magnetic moment: 7.472 μB per cell. The value obtained for the theoretical density is 4.2 g cm⁻³.

Unit cell a=4.5777 b=4.5777 c=4.1529 alpha=90.00 beta=90.00 gamma=90.00
Space group P4/mmm (No. 123)
Asymmetric unit:
Sr: 0.0000 0.0000 0.0000
Al: 0.5000 0.5000 0.0000
Cr: 0.0000 0.5000 0.5000


2.
A geometry-optimized LaTb2ErSb4 structure, computed with PBE.

Properties
The density of states at the Fermi level comes out at 0.1443 states/eV per atom. The crystal system is tetragonal. The value obtained for the total energy is -88.90 eV per cell. The value obtained for the formation energy (no corrections) is -1151 meV/atom. As for the magnetic moment: 0.000 μB per cell. The value obtained for the theoretical density is 7.4 g cm⁻³.

Unit cell a=6.2962 b=6.2962 c=12.5720 alpha=90.00 beta=90.00 gamma=90.00
Space group I4/mmm (No. 139)
Asymmetric unit:
La: 0.0000 0.0000 0.0000
Tb: 0.0000 0.5000 0.2500
Er: 0.0000 0.0000 0.5000
Sb: 0.0000 0.0000 0.2557
Sb: 0.0000 0.5000 0.0000


3.
A geometry-optimized Na2Pu2TiSe6 structure, computed with PBE.

Properties
The density of states at the Fermi level comes out at 1.9660 states/eV per atom. The crystal system is monoclinic. The value obtained for the total energy is -148.61 eV per cell. The value obtained for the formation energy (no corrections) is -1291 meV/atom. As for the magnetic moment: 20.000 μB per cell. The value obtained for the theoretical density is 5.9 g cm⁻³.

Unit cell a=6.9960 b=11.9652 c=7.4260 alpha=90.00 beta=108.54 gamma=90.00
Space group C2/m (No. 12)
Asymmetric unit:
Na: 0.0000 0.1717 0.0000
Pu: 0.0000 0.3336 0.5000
Ti: 0.0000 0.0000 0.5000
Se: 0.2306 0.1549 0.7202
Se: 0.2319 0.0000 0.2814


4.
A geometry-optimized SrLi12Ga6 structure, computed with PBE.

Properties
The density of states at the Fermi level comes out at 0.4263 states/eV per atom. The crystal system is trigonal. The value obtained for the total energy is -137.26 eV per cell. As for the magnetic moment: 0.000 μB per cell. The value obtained for the theoretical density is 2.7 g cm⁻³.

Unit cell a=11.4892 b=11.4892 c=9.3860 alpha=90.00 beta=90.00 gamma=120.00
Space group R-3m (No. 166, hexagonal axes)
Asymmetric unit:
Sr: 0.0000 0.0000 0.0000
Li: 0.0000 0.3881 0.5000
Li: 0.0980 0.1960 0.2936
Ga: 0.0833 0.5417 0.2394


5.
A geometry-optimized KRb4Cd structure, computed with PBE.

Properties
The density of states at the Fermi level comes out at 0.7774 states/eV per atom. The energy relative to the lowest polymorph listed for this composition is 0 meV/atom. The crystal system is monoclinic. The value obtained for the total energy is -23.63 eV per cell. As for the magnetic moment: 0.000 μB per cell. The value obtained for the theoretical density is 1.9 g cm⁻³.

Unit cell a=22.6396 b=10.0749 c=8.1750 alpha=90.00 beta=110.24 gamma=90.00
Space group C2/m (No. 12)
Asymmetric unit:
K: 0.1986 0.0000 0.1968
Rb: 0.0000 0.2224 0.0000
Rb: 0.1182 0.2402 0.6169
Rb: 0.1682 0.5000 0.1691
Cd: 0.0008 0.5000 0.3201


6.
A geometry-optimized AcHfCl structure, computed with PBE.

Properties
The density of states at the Fermi level comes out at 0.7922 states/eV per atom. The crystal system is orthorhombic. The value obtained for the total energy is -36.39 eV per cell. The value obtained for the formation energy (no corrections) is -763 meV/atom. As for the magnetic moment: 0.000 μB per cell. The value obtained for the theoretical density is 8.5 g cm⁻³.

Unit cell a=3.9799 b=4.0029 c=10.8625 alpha=90.00 beta=90.00 gamma=90.00
Space group Pmmn (No. 59, origin choice 2)
Asymmetric unit:
Ac: 0.2500 0.2500 0.2341
Hf: 0.2500 0.2500 0.5506
Cl: 0.2500 0.2500 0.9031